The following is a DFT calculation (PBE) of crystalline LiFeCuRh at its relaxed geometry.

**Total DFT energy (no corrections)**: -87.66 eV/cell
**Calculated density**: 7.54 g cm⁻³

Lattice parameters (Å, degrees): 5.8658 5.8658 5.8658 90.00 90.00 90.00
Closest atoms and distances in Å follow each position.
Space group F-43m (No. 216)
Asymmetric unit:
1 Li 0.0000 0.0000 0.0000 [4 per cell]  4 Cu 2.54, 4 Rh 2.54
2 Fe 0.0000 0.0000 0.5000 [4 per cell]  4 Cu 2.54, 4 Rh 2.54
3 Cu 0.2500 0.2500 0.7500 [4 per cell]  4 Fe 2.54, 4 Li 2.54
4 Rh 0.2500 0.2500 0.2500 [4 per cell]  4 Fe 2.54, 4 Li 2.54

The following is a DFT calculation (PBE) of crystalline CaNd2N at its relaxed geometry.

**Total DFT energy (no corrections)**: -67.08 eV/cell
**Calculated density**: 5.03 g cm⁻³

Lattice parameters (Å, degrees): 3.6825 3.6825 28.8923 90.00 90.00 120.00
Closest atoms and distances in Å follow each position.
Space group R-3m (No. 166, hexagonal axes)
Asymmetric unit:
1 Ca 0.0000 0.0000 0.0000 [3 per cell]  6 Ca 3.68, 6 Nd 4.04
2 Nd 0.0000 0.0000 0.2143 [6 per cell]  3 N 2.53
3 N 0.0000 0.0000 0.5000 [3 per cell]  6 Nd 2.53

The following is a DFT calculation (PBE) of crystalline ReMo2W5 at its relaxed geometry.

**Total DFT energy (no corrections)**: -197.54 eV/cell
**Calculated density**: 16.89 g cm⁻³

Lattice parameters (Å, degrees): 6.3410 6.3410 6.3440 90.00 90.00 90.00
Closest atoms and distances in Å follow each position.
Space group I4/mmm (No. 139)
Asymmetric unit:
1 Re 0.0000 0.0000 0.0000 [2 per cell]  8 W 2.75
2 Mo 0.0000 0.5000 0.0000 [4 per cell]  8 W 2.75
3 W 0.0000 0.0000 0.5000 [2 per cell]  8 W 2.75
4 W 0.2500 0.2500 0.2500 [8 per cell]  2 W 2.75, 2 Re 2.75, 4 Mo 2.75

The following is a DFT calculation (PBE) of crystalline Ta2SiCl at its relaxed geometry.

**Total DFT energy (no corrections)**: -92.03 eV/cell
**Calculated density**: 10.74 g cm⁻³
**Polymorph energy (0 for the lowest one)**: 166.2 meV/atom

Lattice parameters (Å, degrees): 2.9592 2.9592 26.0232 90.00 90.00 120.00
Closest atoms and distances in Å follow each position.
Space group R-3m (No. 166, hexagonal axes)
Asymmetric unit:
1 Ta 0.0000 0.0000 0.2493 [6 per cell]  3 Si 2.75, 3 Cl 2.78, 6 Ta 2.96
2 Si 0.0000 0.0000 0.5000 [3 per cell]  6 Ta 2.75, 6 Si 2.96
3 Cl 0.0000 0.0000 0.0000 [3 per cell]  6 Ta 2.78, 6 Cl 2.96

The following is a DFT calculation (PBE) of crystalline Ba2OsNO at its relaxed geometry.

**Total DFT energy (no corrections)**: -31.32 eV/cell
**Calculated density**: 6.92 g cm⁻³

Lattice parameters (Å, degrees): 5.6194 5.6194 3.7614 90.00 90.00 90.00
Closest atoms and distances in Å follow each position.
Space group P4/mmm (No. 123)
Asymmetric unit:
1 Ba 0.0000 0.5000 0.0000 [2 per cell]  2 N 2.81
2 Os 0.0000 0.0000 0.5000 [1 per cell]  2 N 1.88
3 N 0.0000 0.0000 0.0000 [1 per cell]  2 Os 1.88
4 O 0.5000 0.5000 0.5000 [1 per cell]  8 Ba 3.38, 2 O 3.76

The following is a DFT calculation (PBE) of crystalline Tm6CoTc at its relaxed geometry.

**Total DFT energy (no corrections)**: -45.51 eV/cell
**Calculated density**: 9.56 g cm⁻³

Lattice parameters (Å, degrees): 6.3029 6.3029 5.9093 90.00 90.00 120.00
Closest atoms and distances in Å follow each position.
Space group P-31m (No. 162)
Asymmetric unit:
1 Tm 0.0000 0.3563 0.2547 [6 per cell]  1 Co 2.67, 1 Tc 2.70
2 Co 0.0000 0.0000 0.5000 [1 per cell]  6 Tm 2.67, 2 Tc 2.95
3 Tc 0.0000 0.0000 0.0000 [1 per cell]  6 Tm 2.70, 2 Co 2.95

The following is a DFT calculation (PBE) of crystalline BeCr2Cd at its relaxed geometry.

**Total DFT energy (no corrections)**: -44.21 eV/cell
**Calculated density**: 7.31 g cm⁻³
**Polymorph energy (0 for the lowest one)**: 198.6 meV/atom

Lattice parameters (Å, degrees): 3.4558 3.9072 7.5884 90.00 90.00 90.00
Closest atoms and distances in Å follow each position.
Space group Cmmm (No. 65)
Asymmetric unit:
1 Be 0.0000 0.0000 0.0000 [2 per cell]  8 Cr 2.29-2.47
2 Cr 0.0000 0.5000 0.1989 [4 per cell]  4 Be 2.29-2.47
3 Cd 0.0000 0.0000 0.5000 [2 per cell]  4 Cd 2.61, 4 Cr 2.86

The following is a DFT calculation (PBE) of crystalline VNi5Ge at its relaxed geometry.

**Total DFT energy (no corrections)**: -42.64 eV/cell
**Calculated density**: 7.89 g cm⁻³
**Polymorph energy (0 for the lowest one)**: 150.1 meV/atom

Lattice parameters (Å, degrees): 4.1336 4.1336 5.1369 90.00 90.00 90.00
Closest atoms and distances in Å follow each position.
Space group P4/mmm (No. 123)
Asymmetric unit:
1 V 0.0000 0.0000 0.0000 [1 per cell]  10 Ni 2.42-2.57
2 Ni 0.0000 0.0000 0.5000 [1 per cell]  8 Ni 2.45, 2 V 2.57
3 Ni 0.0000 0.5000 0.2447 [4 per cell]  2 V 2.42, 2 Ge 2.45, 4 Ni 2.45-2.62
4 Ge 0.5000 0.5000 0.5000 [1 per cell]  8 Ni 2.45

> Look up the total DFT energy (no corrections) of the third one.

-197.54 eV/cell

Repeat the fourth record exactly.
The following is a DFT calculation (PBE) of crystalline Ta2SiCl at its relaxed geometry.

**Total DFT energy (no corrections)**: -92.03 eV/cell
**Calculated density**: 10.74 g cm⁻³
**Polymorph energy (0 for the lowest one)**: 166.2 meV/atom

Lattice parameters (Å, degrees): 2.9592 2.9592 26.0232 90.00 90.00 120.00
Closest atoms and distances in Å follow each position.
Space group R-3m (No. 166, hexagonal axes)
Asymmetric unit:
1 Ta 0.0000 0.0000 0.2493 [6 per cell]  3 Si 2.75, 3 Cl 2.78, 6 Ta 2.96
2 Si 0.0000 0.0000 0.5000 [3 per cell]  6 Ta 2.75, 6 Si 2.96
3 Cl 0.0000 0.0000 0.0000 [3 per cell]  6 Ta 2.78, 6 Cl 2.96

> The lowest calculated density belongs to which entry?

CaNd2N

> Which formula does entry 4 have?

Ta2SiCl